# 1
The following is a DFT calculation (PBE) of crystalline K2BeAl at its relaxed geometry.

Cell: 5.155 4.042 7.209 Å, 56.55 90.00 90.00°
Element x y z (fractional)
Be: 0.500 0.750 0.750
K: 0.000 0.501 0.503
K: 0.000 0.999 0.997
Al: 0.500 0.250 0.250

Output
Total moment (μB/f.u.): 0.00
V (Å³ per cell): 125.3
Symmetry: P2/m (10)
Energy above the lowest structure with this stoichiometry (meV/atom): 452
DOS(E_F) (states/eV per atom): 0.614


# 2
The following is a DFT calculation (PBE) of crystalline SrBi at its relaxed geometry.

Cell: 4.728 5.134 6.835 Å, 102.54 110.23 90.00°
Element x y z (fractional)
Bi: 0.397 0.260 0.795
Sr: 0.874 0.729 0.748
Bi: 0.603 0.740 0.205
Sr: 0.126 0.271 0.252

Output
E (eV/atom): -3.541
Total moment (μB/f.u.): 0.00
V (Å³ per cell): 151.4
Symmetry: C2/m (12)
DOS(E_F) (states/eV per atom): 0.239


# 3
The following is a DFT calculation (PBE) of crystalline Ti3HgOs at its relaxed geometry.

Cell: 4.765 4.765 4.765 Å, 90.00 90.00 90.00°
Site moments in Bohr magnetons follow the coordinates.
Element x y z (fractional)
Ti: 0.000 0.500 0.000  0.39
Ti: 0.000 0.000 0.500  0.24
Ti: 0.500 0.000 0.000  0.63
Hg: 0.500 0.500 0.500  0.01
Os: 0.000 0.000 0.000  -0.07

Output
Total moment (μB/f.u.): 1.59
V (Å³ per cell): 108.2
Symmetry: Pm-3m (221)
Energy above the lowest structure with this stoichiometry (meV/atom): 0
DOS(E_F) (states/eV per atom): 1.316


# 4
The following is a DFT calculation (PBE) of crystalline LiZn6Ru at its relaxed geometry.

Cell: 4.519 4.519 7.139 Å, 76.26 76.26 68.29°
Element x y z (fractional)
Zn: 0.639 0.639 0.068
Zn: 0.567 0.068 0.307
Zn: 0.361 0.361 0.932
Li: 0.500 0.500 0.500
Zn: 0.068 0.567 0.307
Zn: 0.433 0.932 0.693
Ru: 0.000 0.000 0.000
Zn: 0.932 0.433 0.693

Output
Total moment (μB/f.u.): 0.00
V (Å³ per cell): 129.7
Symmetry: C2/m (12)
Energy above the lowest structure with this stoichiometry (meV/atom): 222
DOS(E_F) (states/eV per atom): 0.270